# 1
A geometry-optimized TbNd3Th2Se6 structure. Source: Alexandria via LeMat-Bulk, functional PBE-GGA. Values from VASP.

Geometry as Quantum ESPRESSO input:
```
&SYSTEM
  ibrav = 0, nat = 12, ntyp = 4
/
ATOMIC_SPECIES
Tb 158.93 Tb.upf
Nd 144.24 Nd.upf
Th 232.04 Th.upf
Se 78.96 Se.upf
ATOMIC_POSITIONS crystal
Tb 0.0000 0.0000 0.0000
Nd 0.1682 0.8318 0.5000
Nd 0.5000 0.5000 0.5000
Nd 0.8318 0.1682 0.5000
Th 0.3332 0.6668 0.0000
Th 0.6668 0.3332 0.0000
Se 0.0817 0.4089 0.2454
Se 0.2448 0.2448 0.7532
Se 0.4089 0.0817 0.2454
Se 0.5911 0.9183 0.7546
Se 0.7552 0.7552 0.2468
Se 0.9183 0.5911 0.7546
CELL_PARAMETERS angstrom
3.6390 -6.2885 0.0000
3.6390 6.2885 0.0000
-2.4288 0.0000 6.8676
```

Summary:
Crystal system: monoclinic
Raw total energy, eV/cell: -75.263
Formation energy from raw total energies, meV/atom: -1715



# 2
A geometry-optimized TbNd2Th3Se6 structure. Source: Alexandria via LeMat-Bulk, functional PBE-GGA. Values from VASP.

Geometry as Quantum ESPRESSO input:
```
&SYSTEM
  ibrav = 0, nat = 12, ntyp = 4
/
ATOMIC_SPECIES
Tb 158.93 Tb.upf
Nd 144.24 Nd.upf
Th 232.04 Th.upf
Se 78.96 Se.upf
ATOMIC_POSITIONS crystal
Tb 0.0000 0.0000 0.0000
Nd 0.3337 0.3337 0.6671
Nd 0.6663 0.6663 0.3329
Th 0.0000 0.0000 0.5000
Th 0.3314 0.3314 0.1657
Th 0.6686 0.6686 0.8343
Se 0.1625 0.1625 0.0820
Se 0.1674 0.1674 0.5823
Se 0.4991 0.4991 0.2409
Se 0.5009 0.5009 0.7591
Se 0.8326 0.8326 0.4177
Se 0.8375 0.8375 0.9180
CELL_PARAMETERS angstrom
9.2548 -2.0836 0.0000
9.2548 2.0836 0.0000
-2.3291 0.0000 8.1189
```

Summary:
Crystal system: monoclinic
Raw total energy, eV/cell: -77.253
Formation energy from raw total energies, meV/atom: -1660



# 3
A geometry-optimized TbNd4Th3Se8 structure. Source: Alexandria via LeMat-Bulk, functional PBE-GGA. Values from VASP.

Geometry as Quantum ESPRESSO input:
```
&SYSTEM
  ibrav = 0, nat = 16, ntyp = 4
/
ATOMIC_SPECIES
Tb 158.93 Tb.upf
Nd 144.24 Nd.upf
Th 232.04 Th.upf
Se 78.96 Se.upf
ATOMIC_POSITIONS crystal
Tb 0.0000 0.0000 0.0000
Nd 0.0000 0.0000 0.5000
Nd 0.0000 0.5000 0.0000
Nd 0.5000 0.0000 0.0000
Nd 0.5000 0.5000 0.5000
Th 0.0000 0.5000 0.5000
Th 0.5000 0.0000 0.5000
Th 0.5000 0.5000 0.0000
Se 0.2460 0.2460 0.7541
Se 0.2460 0.7541 0.2460
Se 0.2459 0.7540 0.7540
Se 0.2496 0.2496 0.2496
Se 0.7504 0.7504 0.7504
Se 0.7541 0.2460 0.2460
Se 0.7540 0.2459 0.7540
Se 0.7540 0.7540 0.2459
CELL_PARAMETERS angstrom
4.1839 2.4156 6.9279
-4.1839 2.4156 6.9279
0.0000 -4.8311 6.9279
```

Summary:
Crystal system: trigonal
Raw total energy, eV/cell: -101.219
Formation energy from raw total energies, meV/atom: -1711



Question: Look up the raw total energy of the first one.
Answer: -75.263 eV/cell



Question: The highest raw total energy belongs to which entry?
Answer: TbNd3Th2Se6



Question: Which formula does entry 3 have?
Answer: TbNd4Th3Se8